This record from the Alexandria database describes a crystal of AlZn2Ag relaxed with PBEsol. The functional is SCAN.

The value obtained for the total energy is -263.4 eV/cell. As for the crystal system: cubic.

It has space group F-43m (No. 216), with a = 6.2631 Å, b = 6.2631 Å, c = 6.2631 Å, α = 90.00°, β = 90.00° and γ = 90.00°. The asymmetric unit holds Al at (0.0000, 0.0000, 0.0000), Zn at (0.0000, 0.0000, 0.5000), Zn at (0.2500, 0.2500, 0.2500) and Ag at (0.2500, 0.2500, 0.7500).